Zn2CdTe: relaxed, PBE.

Cell: 4.046 4.046 5.732 Å, 90.00 90.00 90.00°
Atoms (fractional coordinates):
Zn1 0.000 0.000 0.000
Zn2 0.500 0.500 0.500
Cd1 0.000 0.000 0.500
Te1 0.500 0.500 0.000

Raw total energy = -1.58 eV per atom
ΔE to the lowest computed polymorph = 22 kJ/mol of formula units
Magnetization = 0.00 Bohr magnetons per cell
Formation energy from raw total energies = 0.0695 eV/atom

Pm2DyTmTl4: relaxed, PBE.

Cell: 9.393 9.393 9.393 Å, 33.48 33.48 33.48°
Atoms (fractional coordinates):
Pm1 0.250 0.250 0.250
Pm2 0.750 0.750 0.750
Dy1 0.500 0.500 0.500
Tm1 0.000 0.000 0.000
Tl1 0.125 0.125 0.125
Tl2 0.375 0.375 0.375
Tl3 0.625 0.625 0.625
Tl4 0.875 0.875 0.875

ΔE_f = -350 meV per atom
Raw total energy = -3.85 eV per atom
Magnetization = 0.00 Bohr magnetons per cell